Here is crystalline Ni2AgIr at its relaxed geometry from the Alexandria database. Energies are from PBE.

Symmetry = No. 123
E_form = 0.13 eV/atom

Cell lengths 2.7074, 2.7074, 7.4069 Å; angles 90.00, 90.00, 90.00 degrees
With the nearest neighbours (Å) after each atom.
Positions (direct):
Ni (0.0000, 0.0000, 0.2310)  4 Ir 2.57, 4 Ni 2.71, 4 Ag 2.76
Ni (0.0000, 0.0000, 0.7690)  4 Ir 2.57, 4 Ni 2.71, 4 Ag 2.76
Ag (0.5000, 0.5000, 0.5000)  4 Ag 2.71, 8 Ni 2.76
Ir (0.5000, 0.5000, 0.0000)  8 Ni 2.57, 4 Ir 2.71